Co2SbO2 | GGA+U | relaxed

abc: 3.9229 3.9229 10.8532
angles: 90.00 90.00 90.00
With the nearest neighbours (Å) after each atom.
Space group I4/mmm (No. 139)
Asymmetric unit:
Co (0.0000, 0.0000, 0.2194) [4 per cell]  4 O 1.99
Sb (0.0000, 0.0000, 0.5000) [2 per cell]  2 Co 3.05, 8 O 3.35
O (0.0000, 0.5000, 0.2500) [4 per cell]  4 Co 1.99

## Properties
volume	167	Å³/cell
uncorrected energy	-5.07	eV per atom
magnetic moment	4.82	μB per formula unit
energy above the lowest structure with this stoichiometry	0.00	eV/f.u.